# Pm5Ho2Sc2 GGA-PBE relaxed
# **Volume**: 571.1 Å³ per cell
# **Energy relative to the lowest polymorph listed for this composition**: 0.0743 eV per atom
# **Energy**: -4.947 eV per atom
# **M_tot**: 0.000 μB per atom
data_Pm5Ho2Sc2
_chemical_formula_sum 'Pm10 Ho4 Sc4'
_cell_length_a 19.751
_cell_length_b 3.465
_cell_length_c 8.558
_cell_angle_alpha 90.00
_cell_angle_beta 102.84
_cell_angle_gamma 90.00
_symmetry_space_group_name_H-M 'C 1 2/m 1'
_symmetry_Int_Tables_number 12
loop_
_symmetry_equiv_pos_as_xyz
'x,y,z'
'-x,-y,-z'
'-x,y,-z'
'x,-y,z'
'x+1/2,y+1/2,z'
'-x+1/2,-y+1/2,-z'
'-x+1/2,y+1/2,-z'
'x+1/2,-y+1/2,z'
loop_
_atom_site_label
_atom_site_fract_x
_atom_site_fract_y
_atom_site_fract_z
Pm1 0.000 0.000 0.000
Pm2 0.162 0.500 0.983
Pm3 0.219 0.000 0.647
Ho1 0.055 0.000 0.662
Sc1 0.097 0.500 0.351